A plane-wave DFT calculation with PBEsol was carried out for an optimized crystal structure of K2YTeAs.

Structure (CIF):
```
data_K2YTeAs
_chemical_formula_sum 'K2 Y1 Te1 As1'
_cell_length_a 5.8869
_cell_length_b 5.8869
_cell_length_c 5.6456
_cell_angle_alpha 90.00
_cell_angle_beta 90.00
_cell_angle_gamma 90.00
_space_group_name_H-M_alt 'P 4/m m m'
_space_group_IT_number 123
_space_group_name_Hall '-P 4 2'
loop_
_atom_site_label
_atom_site_type_symbol
_atom_site_fract_x
_atom_site_fract_y
_atom_site_fract_z
K1 K 0.0000 0.5000 0.0000
Y1 Y 0.0000 0.0000 0.5000
Te1 Te 0.5000 0.5000 0.5000
As1 As 0.5000 0.5000 0.0000
```

Results
DFT total energy   -3.19 eV per atom
Energy relative to the elements, uncorrected   1.8 eV per formula unit